A plane-wave DFT calculation with GGA+U was carried out for an optimized crystal structure of BaSrFeO3.

Properties
- total DFT energy (no corrections) (eV/f.u.) = -37.404
- symmetry = C2/m (12)
- size of the total moment (Bohr magnetons per cell) = 8.00

a b c (Å): 4.068 7.197 7.476
angles (deg): 104.94 90.00 106.42
Fractional positions:
Sr  0.650  0.301  0.573
Fe  0.001  0.001  0.270
Fe  0.999  0.999  0.730
Ba  0.353  0.706  0.924
O  0.844  0.688  0.660
O  0.847  0.693  0.187
O  0.156  0.312  0.340
O  0.499  0.998  0.728
Ba  0.647  0.294  0.076
O  0.501  0.002  0.272
O  0.153  0.307  0.813
Sr  0.350  0.699  0.427